LiCaTmZn: relaxed, PBE.

```
LiCaTmZn
1.0
0.000 3.649 3.649
3.649 0.000 3.649
3.649 3.649 0.000
Li Ca Tm Zn
1 1 1 1
Direct
0.000 0.000 0.000
0.750 0.750 0.750
0.250 0.250 0.250
0.500 0.500 0.500
```

Space group ... F-43m, No. 216
Calculated volume ... 24.30 Å³/atom
Energy of formation from the pure elements ... -0.073 eV/atom
Calculated total energy ... -9.95 eV/cell